(1)
DFT (GGA-PBE) results for crystalline ZrSb2Pb at its relaxed geometry.

abc: 3.249 3.249 10.565
angles: 90.00 90.00 102.48
Atoms (fractional coordinates):
Zr 0.000 0.000 0.000
Sb 0.000 0.000 0.487
Sb 0.500 0.500 0.795
Pb 0.500 0.500 0.231

(2)
DFT (GGA-PBE) results for crystalline ZrSbPb2 at its relaxed geometry.

abc: 3.766 3.766 7.820
angles: 90.00 90.00 90.00
Atoms (fractional coordinates):
Zr 0.000 0.000 0.000
Sb 0.500 0.500 0.838
Pb 0.000 0.000 0.561
Pb 0.500 0.500 0.257

(3)
DFT (GGA-PBE) results for crystalline Zr3SbPb at its relaxed geometry.

abc: 8.390 8.390 4.306
angles: 90.01 90.01 61.78
Atoms (fractional coordinates):
Zr 0.118 0.118 0.001
Zr 0.177 0.563 0.500
Zr 0.437 0.823 0.500
Zr 0.498 0.267 0.001
Zr 0.733 0.502 0.999
Zr 0.882 0.882 0.999
Sb 0.307 0.193 0.501
Sb 0.807 0.693 0.499
Pb 0.308 0.692 0.000
Pb 0.808 0.192 0.500

## Properties
For the energy above the most stable polymorph in this dataset, the calculation gives 0.000 eV per atom.

| no. | uncorrected formation energy (eV per atom) |
| --- | --- |
| 1 | 0.0063 |
| 2 | -0.1335 |
| 3 | 0.0088 |